No. 1
Material: Sn2GeAu4
Method: DFT, PBE-GGA
State: relaxed

Results
Crystal system   triclinic

Unit cell a=5.7418 b=6.8902 c=8.3356 alpha=74.78 beta=87.17 gamma=79.31
Space group P-1 (No. 2)
Inequivalent atoms, fractional coordinates:
Sn 0.1765 0.2271 0.4805
Sn 0.1909 0.7856 0.8946
Ge 0.4124 0.7515 0.2632
Au 0.1418 0.4107 0.7472
Au 0.2790 0.0993 0.0441
Au 0.3066 0.7926 0.5610
Au 0.3346 0.4416 0.1617

---

No. 2
Material: Sn3GeAu6
Method: DFT, PBE-GGA
State: relaxed

Results
E above lowest polymorph   0 meV/atom
Crystal system   orthorhombic

Unit cell a=11.5765 b=9.5770 c=8.0358 alpha=90.00 beta=90.00 gamma=90.00
Space group Cmc2_1 (No. 36)
Inequivalent atoms, fractional coordinates:
Sn 0.0000 0.0862 0.0000
Sn 0.1823 0.4012 0.6156
Ge 0.0000 0.3678 0.2403
Au 0.0000 0.2040 0.6476
Au 0.0000 0.4029 0.9230
Au 0.1288 0.1517 0.3384
Au 0.2142 0.1251 0.8024

---

No. 3
Material: SnGeAu14
Method: DFT, PBE-GGA
State: relaxed

Results
Crystal system   orthorhombic

Unit cell a=9.5999 b=6.0434 c=10.2090 alpha=90.00 beta=90.00 gamma=90.00
Space group Amm2 (No. 38)
Inequivalent atoms, fractional coordinates:
Sn 0.0000 0.0000 0.0000
Ge 0.0000 0.0000 0.5048
Au 0.0000 0.2475 0.2529
Au 0.2488 0.0000 0.6710
Au 0.2521 0.0000 0.1721
Au 0.2522 0.2477 0.4216
Au 0.5000 0.0000 0.0024
Au 0.5000 0.0000 0.5020
Au 0.5000 0.2481 0.7508

---

No. 4
Material: Sn2Ge2Au3
Method: DFT, PBE-GGA
State: relaxed

Results
Crystal system   monoclinic

Unit cell a=12.0493 b=4.1468 c=7.2629 alpha=90.00 beta=120.32 gamma=90.00
Space group C2/m (No. 12)
Inequivalent atoms, fractional coordinates:
Sn 0.0970 0.0000 0.3353
Ge 0.2343 0.5000 0.1027
Au 0.0000 0.5000 0.0000
Au 0.1420 0.5000 0.6358

---

No. 5
Material: Sn2Ge2Au7
Method: DFT, PBE-GGA
State: relaxed

Results
Crystal system   monoclinic

Unit cell a=9.0758 b=7.4590 c=7.3224 alpha=90.00 beta=109.46 gamma=90.00
Space group C2/m (No. 12)
Inequivalent atoms, fractional coordinates:
Sn 0.2134 0.0000 0.0667
Ge 0.0000 0.3210 0.5000
Au 0.0000 0.5000 0.0000
Au 0.0115 0.0000 0.3026
Au 0.2168 0.3068 0.2991

---

No. 6
Material: Sn4GeAu5
Method: DFT, PBE-GGA
State: relaxed

Results
Crystal system   triclinic

Unit cell a=5.7471 b=7.0572 c=7.1112 alpha=60.52 beta=79.43 gamma=67.08
Space group P1 (No. 1)
Inequivalent atoms, fractional coordinates:
Sn 0.0000 0.0000 0.0000
Sn 0.0262 0.5257 0.6528
Sn 0.1862 0.4938 0.1373
Sn 0.4037 0.8979 0.3287
Ge 0.5509 0.9489 0.7601
Au 0.1017 0.1608 0.5527
Au 0.4833 0.2471 0.9099
Au 0.5585 0.4317 0.4503
Au 0.7128 0.4970 0.0237
Au 0.8185 0.0056 0.3998

---

No. 7
Material: Sn2GeAu2
Method: DFT, PBE-GGA
State: relaxed

Results
E above lowest polymorph   256 meV/atom
Crystal system   tetragonal

Unit cell a=4.3859 b=4.3859 c=12.6253 alpha=90.00 beta=90.00 gamma=90.00
Space group I4/mmm (No. 139)
Inequivalent atoms, fractional coordinates:
Sn 0.0000 0.5000 0.2500
Ge 0.0000 0.0000 0.0000
Au 0.0000 0.0000 0.3951

---

No. 8
Material: SnGe2Au4
Method: DFT, PBE-GGA
State: relaxed

Results
Crystal system   triclinic

Unit cell a=3.8778 b=7.2181 c=11.2315 alpha=101.49 beta=96.33 gamma=104.79
Space group P-1 (No. 2)
Inequivalent atoms, fractional coordinates:
Sn 0.1807 0.1300 0.3157
Ge 0.0219 0.4057 0.6400
Ge 0.3530 0.2922 0.8494
Au 0.0000 0.5000 0.0000
Au 0.2273 0.9187 0.0693
Au 0.2976 0.7001 0.8243
Au 0.4096 0.1218 0.6064
Au 0.5000 0.5000 0.5000

---

No. 9
Material: SnGe3Au
Method: DFT, PBE-GGA
State: relaxed

Results
E above lowest polymorph   0 meV/atom
Crystal system   cubic

Unit cell a=5.0663 b=5.0663 c=5.0663 alpha=90.00 beta=90.00 gamma=90.00
Space group Pm-3m (No. 221)
Inequivalent atoms, fractional coordinates:
Sn 0.0000 0.0000 0.0000
Ge 0.0000 0.5000 0.5000
Au 0.5000 0.5000 0.5000

---

No. 10
Material: Sn3GeAu6
Method: DFT, PBE-GGA
State: relaxed

Results
E above lowest polymorph   25 meV/atom
Crystal system   monoclinic

Unit cell a=6.0518 b=9.2548 c=9.6033 alpha=90.00 beta=126.64 gamma=90.00
Space group P2_1/c (No. 14)
Inequivalent atoms, fractional coordinates:
Sn 0.0000 0.0000 0.0000
Sn 0.3137 0.0898 0.7535
Ge 0.5000 0.0000 0.5000
Au 0.0361 0.1397 0.2777
Au 0.2103 0.6983 0.0450
Au 0.4488 0.2011 0.0805

---

No. 11
Material: SnGeAu4
Method: DFT, PBE-GGA
State: relaxed

Results
E above lowest polymorph   0 meV/atom
Crystal system   monoclinic

Unit cell a=13.5428 b=5.7545 c=6.4579 alpha=90.00 beta=96.37 gamma=90.00
Space group C2/m (No. 12)
Inequivalent atoms, fractional coordinates:
Sn 0.2373 0.0000 0.2092
Ge 0.1186 0.5000 0.2791
Au 0.0000 0.2442 0.5000
Au 0.0953 0.2481 0.9262
Au 0.1899 0.0000 0.6109

---

No. 12
Material: Sn2GeAu2
Method: DFT, PBE-GGA
State: relaxed

Results
E above lowest polymorph   84 meV/atom
Crystal system   tetragonal

Unit cell a=7.4880 b=7.4880 c=4.0479 alpha=90.00 beta=90.00 gamma=90.00
Space group P4/mbm (No. 127)
Inequivalent atoms, fractional coordinates:
Sn 0.1684 0.3316 0.0000
Ge 0.0000 0.0000 0.5000
Au 0.1372 0.6372 0.5000

---

Record order is preserved below.
Formation energy: -0.069, -0.050, 0.026, -0.035, 0.006, -0.062, 0.198, 0.009, 0.545, -0.025, -0.020, 0.027 eV per atom